No. 1
This record from Alexandria describes an optimized crystal structure of K2MnRh. The functional is GGA-PBE.

a b c (Å): 10.2562 10.2562 10.2562
angles (deg): 161.61 157.64 29.11
With the nearest neighbours (Å) after each atom.
Positions (direct):
1 K 0.1452 0.1452 0.0000  2 K 3.28, 2 Rh 3.32, 2 Mn 3.50
2 K 0.8548 0.8548 0.0000  2 K 3.28, 2 Rh 3.32, 2 Mn 3.50
3 Mn 0.5000 0.0000 0.5000  4 Rh 2.58
4 Rh 0.0000 0.5000 0.5000  4 Mn 2.58

Values from the calculation:
crystal system: orthorhombic
E_form: 0.3814 eV per atom
VASP energy: -4.30 eV per atom
space-group type: Immm

No. 2
This record from Alexandria describes an optimized crystal structure of K2MnRh. The functional is GGA-PBE.

a b c (Å): 3.0116 3.0116 11.2321
angles (deg): 90.00 90.00 90.00
With the nearest neighbours (Å) after each atom.
Positions (direct):
1 K 0.0000 0.0000 0.2192  4 K 3.01, 4 Rh 3.26
2 K 0.0000 0.0000 0.7808  4 K 3.01, 4 Rh 3.26
3 Mn 0.5000 0.5000 0.5000  4 Mn 3.01
4 Rh 0.5000 0.5000 0.0000  4 Rh 3.01, 8 K 3.26

Values from the calculation:
crystal system: tetragonal
E_form: 0.9915 eV per atom
VASP energy: -3.69 eV per atom
space-group type: P4/mmm

No. 3
This record from Alexandria describes an optimized crystal structure of KMn2Rh. The functional is GGA-PBE.

a b c (Å): 9.0135 9.0135 9.0135
angles (deg): 144.87 144.87 50.53
With the nearest neighbours (Å) after each atom.
Positions (direct):
1 K 0.3750 0.6250 0.7500  8 Mn 3.66, 4 Rh 3.85
2 K 0.6250 0.3750 0.2500  8 Mn 3.66, 4 Rh 3.85
3 Mn 0.0000 0.0000 0.0000  2 Rh 2.45, 2 Mn 2.72
4 Mn 0.0000 0.0000 0.5000  2 Rh 2.45, 2 Mn 2.72
5 Mn 0.0000 0.5000 0.0000  2 Rh 2.45, 2 Mn 2.72
6 Mn 0.5000 0.0000 0.5000  2 Rh 2.45, 2 Mn 2.72
7 Rh 0.1250 0.8750 0.2500  4 Mn 2.45
8 Rh 0.8750 0.1250 0.7500  4 Mn 2.45

Values from the calculation:
crystal system: tetragonal
E_form: 0.8886 eV per atom
VASP energy: -5.81 eV per atom
space-group type: I4_1/amd

No. 4
This record from Alexandria describes an optimized crystal structure of KMn2Rh. The functional is GGA-PBE.

a b c (Å): 5.5135 5.5135 2.8287
angles (deg): 101.23 101.23 114.99
With the nearest neighbours (Å) after each atom.
Positions (direct):
1 K 0.0000 0.0000 0.0000  2 K 2.83, 4 Mn 2.84, 2 Rh 2.96
2 Mn 0.0000 0.5000 0.5000  4 Mn 2.83-2.96, 2 K 2.84, 2 Rh 2.84
3 Mn 0.5000 0.0000 0.5000  4 Mn 2.83-2.96, 2 K 2.84, 2 Rh 2.84
4 Rh 0.5000 0.5000 0.0000  2 Rh 2.83, 4 Mn 2.84, 2 K 2.96

Values from the calculation:
crystal system: monoclinic
E_form: 0.9098 eV per atom
VASP energy: -5.79 eV per atom
space-group type: C2/m

No. 5
This record from Alexandria describes an optimized crystal structure of KMn3Rh. The functional is GGA-PBE.

a b c (Å): 4.9968 4.9968 4.9968
angles (deg): 90.00 90.00 90.00
With the nearest neighbours (Å) after each atom.
Positions (direct):
1 K 0.0000 0.0000 0.0000  12 Mn 3.53
2 Mn 0.0000 0.5000 0.5000  2 Rh 2.50
3 Mn 0.5000 0.0000 0.5000  2 Rh 2.50
4 Mn 0.5000 0.5000 0.0000  2 Rh 2.50
5 Rh 0.5000 0.5000 0.5000  6 Mn 2.50

Values from the calculation:
crystal system: cubic
E_form: 0.7211 eV per atom
VASP energy: -6.47 eV per atom
space-group type: Pm-3m

No. 6
This record from Alexandria describes an optimized crystal structure of KMn2Rh. The functional is GGA-PBE.

a b c (Å): 10.2479 10.2479 10.2479
angles (deg): 16.91 16.91 16.91
With the nearest neighbours (Å) after each atom.
Positions (direct):
1 K 0.0000 0.0000 0.0000  6 K 3.01
2 Mn 0.2317 0.2317 0.2317  3 Rh 2.63
3 Mn 0.7683 0.7683 0.7683  3 Rh 2.63
4 Rh 0.5000 0.5000 0.5000  6 Mn 2.63

Values from the calculation:
crystal system: trigonal
E_form: 0.6692 eV per atom
VASP energy: -6.03 eV per atom
space-group type: R-3m

No. 7
This record from Alexandria describes an optimized crystal structure of K2MnRh. The functional is GGA-PBE.

a b c (Å): 5.4303 5.4303 5.4303
angles (deg): 60.00 60.00 60.00
With the nearest neighbours (Å) after each atom.
Positions (direct):
1 K 0.2500 0.2500 0.2500  4 Rh 3.33, 4 Mn 3.33
2 K 0.7500 0.7500 0.7500  4 Rh 3.33, 4 Mn 3.33
3 Mn 0.0000 0.0000 0.0000  8 K 3.33
4 Rh 0.5000 0.5000 0.5000  8 K 3.33

Values from the calculation:
crystal system: cubic
E_form: 1.1308 eV per atom
VASP energy: -3.55 eV per atom
space-group type: Fm-3m

No. 8
This record from Alexandria describes an optimized crystal structure of KMn4Rh. The functional is GGA-PBE.

a b c (Å): 5.0344 5.0344 5.0344
angles (deg): 60.00 60.00 60.00
With the nearest neighbours (Å) after each atom.
Positions (direct):
1 K 0.0000 0.0000 0.0000  12 Mn 2.96, 4 Rh 3.08
2 Mn 0.1341 0.6220 0.6220  6 Mn 2.46-2.58
3 Mn 0.6220 0.1341 0.6220  6 Mn 2.46-2.58
4 Mn 0.6220 0.6220 0.1341  6 Mn 2.46-2.58
5 Mn 0.6220 0.6220 0.6220  6 Mn 2.46-2.58
6 Rh 0.2500 0.2500 0.2500  12 Mn 2.95, 4 K 3.08

Values from the calculation:
crystal system: cubic
E_form: 0.9687 eV per atom
VASP energy: -6.55 eV per atom
space-group type: F-43m

No. 9
This record from Alexandria describes an optimized crystal structure of KMn2Rh. The functional is GGA-PBE.

a b c (Å): 3.1587 3.1587 8.7038
angles (deg): 90.00 90.00 90.00
With the nearest neighbours (Å) after each atom.
Positions (direct):
1 K 0.0000 0.0000 0.0000  4 K 3.16
2 Mn 0.5000 0.5000 0.3349  4 Rh 2.66, 1 Mn 2.87
3 Mn 0.5000 0.5000 0.6651  4 Rh 2.66, 1 Mn 2.87
4 Rh 0.0000 0.0000 0.5000  8 Mn 2.66

Values from the calculation:
crystal system: tetragonal
E_form: 0.4376 eV per atom
VASP energy: -6.26 eV per atom
space-group type: P4/mmm

No. 10
This record from Alexandria describes an optimized crystal structure of KMn2Rh. The functional is GGA-PBE.

a b c (Å): 4.6671 4.6671 7.1950
angles (deg): 95.16 95.16 36.77
With the nearest neighbours (Å) after each atom.
Positions (direct):
1 K 0.0000 0.0000 0.0000  2 K 2.94
2 Mn 0.2269 0.2269 0.6319  2 Rh 2.54, 3 Mn 2.76-2.78
3 Mn 0.4893 0.4893 0.4528  3 Rh 2.56-2.58, 3 Mn 2.76-2.78
4 Rh 0.7576 0.7576 0.3499  5 Mn 2.54-2.58

Values from the calculation:
crystal system: monoclinic
E_form: 0.5796 eV per atom
VASP energy: -6.12 eV per atom
space-group type: Cm

No. 11
This record from Alexandria describes an optimized crystal structure of K2MnRh. The functional is GGA-PBE.

a b c (Å): 3.0179 3.0179 11.5079
angles (deg): 90.00 90.00 114.23
With the nearest neighbours (Å) after each atom.
Positions (direct):
1 K 0.0000 0.0000 0.2233  6 K 3.02-3.28, 2 Rh 3.05
2 K 0.0000 0.0000 0.7767  6 K 3.02-3.28, 2 Rh 3.05
3 Mn 0.5000 0.5000 0.5000  6 Mn 3.02-3.28
4 Rh 0.5000 0.5000 0.0000  6 Rh 3.02-3.28, 4 K 3.05

Values from the calculation:
crystal system: orthorhombic
E_form: 0.9892 eV per atom
VASP energy: -3.69 eV per atom
space-group type: Cmmm

No. 12
This record from Alexandria describes an optimized crystal structure of KMn2Rh. The functional is GGA-PBE.

a b c (Å): 4.8365 4.8365 3.1522
angles (deg): 90.00 90.00 90.00
With the nearest neighbours (Å) after each atom.
Positions (direct):
1 K 0.0000 0.0000 0.0000  8 Mn 2.89, 2 K 3.15
2 Mn 0.0000 0.5000 0.5000  4 K 2.89, 4 Rh 2.89, 2 Mn 3.15
3 Mn 0.5000 0.0000 0.5000  4 K 2.89, 4 Rh 2.89, 2 Mn 3.15
4 Rh 0.5000 0.5000 0.0000  8 Mn 2.89, 2 Rh 3.15

Values from the calculation:
crystal system: tetragonal
E_form: 0.9098 eV per atom
VASP energy: -5.79 eV per atom
space-group type: P4/mmm